No. 1
The following is a GGA-PBE calculation of a relaxed structure of Rb2Be3Cd2F12, from OQMD via LeMat-Bulk.

abc: 9.831 9.831 9.831
angles: 90.00 90.00 90.00
Fractional coordinates of all 76 atoms:
F (0.205, 0.472, 0.905)
Rb (0.562, 0.562, 0.562)
F (0.853, 0.689, 0.111)
F (0.908, 0.132, 0.961)
F (0.726, 0.549, 0.795)
F (0.689, 0.111, 0.853)
F (0.368, 0.039, 0.408)
F (0.539, 0.092, 0.632)
F (0.905, 0.205, 0.472)
F (0.795, 0.972, 0.595)
Rb (0.837, 0.837, 0.837)
Be (0.636, 0.505, 0.243)
F (0.611, 0.647, 0.311)
F (0.111, 0.853, 0.689)
F (0.592, 0.868, 0.461)
F (0.451, 0.295, 0.774)
Be (0.995, 0.757, 0.136)
Cd (0.411, 0.911, 0.589)
Cd (0.911, 0.589, 0.411)
F (0.774, 0.451, 0.295)
Be (0.243, 0.636, 0.505)
Rb (0.438, 0.062, 0.938)
F (0.528, 0.405, 0.295)
F (0.132, 0.961, 0.908)
F (0.311, 0.611, 0.647)
Cd (0.089, 0.089, 0.089)
F (0.461, 0.592, 0.868)
F (0.408, 0.368, 0.039)
F (0.951, 0.205, 0.226)
F (0.595, 0.795, 0.972)
F (0.961, 0.908, 0.132)
Rb (0.163, 0.337, 0.663)
Rb (0.337, 0.663, 0.163)
F (0.049, 0.705, 0.274)
F (0.632, 0.539, 0.092)
F (0.647, 0.311, 0.611)
F (0.811, 0.889, 0.353)
Rb (0.938, 0.438, 0.062)
F (0.147, 0.189, 0.389)
Rb (0.663, 0.163, 0.337)
Be (0.505, 0.243, 0.636)
Be (0.757, 0.136, 0.995)
F (0.095, 0.705, 0.028)
F (0.868, 0.461, 0.592)
F (0.039, 0.408, 0.368)
Be (0.136, 0.995, 0.757)
Cd (0.820, 0.180, 0.680)
Be (0.495, 0.743, 0.864)
F (0.472, 0.905, 0.205)
Cd (0.180, 0.680, 0.820)
F (0.274, 0.049, 0.705)
F (0.092, 0.632, 0.539)
Be (0.257, 0.364, 0.005)
F (0.295, 0.528, 0.405)
F (0.295, 0.774, 0.451)
F (0.226, 0.951, 0.205)
Rb (0.062, 0.938, 0.438)
F (0.189, 0.389, 0.147)
Be (0.364, 0.005, 0.257)
F (0.389, 0.147, 0.189)
Cd (0.589, 0.411, 0.911)
Be (0.864, 0.495, 0.743)
F (0.205, 0.226, 0.951)
F (0.705, 0.028, 0.095)
F (0.795, 0.726, 0.549)
F (0.889, 0.353, 0.811)
F (0.705, 0.274, 0.049)
Be (0.743, 0.864, 0.495)
Cd (0.320, 0.320, 0.320)
F (0.353, 0.811, 0.889)
F (0.405, 0.295, 0.528)
Be (0.005, 0.257, 0.364)
F (0.972, 0.595, 0.795)
Cd (0.680, 0.820, 0.180)
F (0.549, 0.795, 0.726)
F (0.028, 0.095, 0.705)

Results
Its symmetry is P2_13. The calculation puts the calculated total energy at -4.77 eV/atom.

No. 2
The following is a GGA-PBE calculation of a relaxed structure of BeCdFe2, from OQMD via LeMat-Bulk.

abc: 4.163 4.163 4.163
angles: 60.00 60.00 60.00
Fractional coordinates of all 4 atoms:
Fe (0.000, 0.000, 0.000)
Fe (0.750, 0.750, 0.750)
Cd (0.250, 0.250, 0.250)
Be (0.500, 0.500, 0.500)

Results
Its total magnetization is 1.11 μB/atom. Its symmetry is F-43m. The calculation puts the calculated total energy at -5.00 eV/atom.

No. 3
The following is a GGA-PBE calculation of a relaxed structure of Be2CdFe, from OQMD via LeMat-Bulk.

abc: 4.134 4.134 4.134
angles: 60.00 60.00 60.00
Fractional coordinates of all 4 atoms:
Fe (0.250, 0.250, 0.250)
Be (0.750, 0.750, 0.750)
Cd (0.500, 0.500, 0.500)
Be (0.000, 0.000, 0.000)

Results
Its total magnetization is 0.53 μB/atom. Its symmetry is F-43m. The calculation puts the calculated total energy at -3.71 eV/atom.

No. 4
The following is a GGA-PBE calculation of a relaxed structure of BeCdFePb, from OQMD via LeMat-Bulk.

abc: 4.643 4.643 4.643
angles: 60.00 60.00 60.00
Fractional coordinates of all 4 atoms:
Fe (0.750, 0.750, 0.750)
Pb (0.000, 0.000, 0.000)
Be (0.250, 0.250, 0.250)
Cd (0.500, 0.500, 0.500)

Results
Its total magnetization is 0.58 μB/atom. Its symmetry is F-43m. Its excess energy over the best structure of this formula in the dataset is 0 meV per atom. The calculation puts the calculated total energy at -3.45 eV/atom.

No. 5
The following is a GGA-PBE calculation of a relaxed structure of BeCdGa, from OQMD via LeMat-Bulk.

abc: 4.268 4.268 4.268
angles: 60.00 60.00 60.00
Fractional coordinates of all 3 atoms:
Ga (0.750, 0.750, 0.750)
Be (0.250, 0.250, 0.250)
Cd (0.000, 0.000, 0.000)

Results
Its symmetry is F-43m. Its excess energy over the best structure of this formula in the dataset is 99 meV per atom. The calculation puts the calculated total energy at -2.05 eV/atom.

No. 6
The following is a GGA-PBE calculation of a relaxed structure of BeCd2Ga, from OQMD via LeMat-Bulk.

abc: 4.717 4.717 4.717
angles: 60.00 60.00 60.00
Fractional coordinates of all 4 atoms:
Ga (0.500, 0.500, 0.500)
Be (0.250, 0.250, 0.250)
Cd (0.750, 0.750, 0.750)
Cd (0.000, 0.000, 0.000)

Results
Its symmetry is F-43m. The calculation puts the calculated total energy at -1.71 eV/atom.

No. 7
The following is a GGA-PBE calculation of a relaxed structure of BeCdGa, from OQMD via LeMat-Bulk.

abc: 4.253 4.253 4.253
angles: 60.00 60.00 60.00
Fractional coordinates of all 3 atoms:
Ga (0.000, 0.000, 0.000)
Be (0.250, 0.250, 0.250)
Cd (0.750, 0.750, 0.750)

Results
Its symmetry is F-43m. Its excess energy over the best structure of this formula in the dataset is 0 meV per atom. The calculation puts the calculated total energy at -2.15 eV/atom.

No. 8
The following is a GGA-PBE calculation of a relaxed structure of BeCdGaNi, from OQMD via LeMat-Bulk.

abc: 4.260 4.260 4.260
angles: 60.00 60.00 60.00
Fractional coordinates of all 4 atoms:
Ga (0.000, 0.000, 0.000)
Cd (0.500, 0.500, 0.500)
Be (0.250, 0.250, 0.250)
Ni (0.750, 0.750, 0.750)

Results
Its total magnetization is 0.00 μB/atom. Its symmetry is F-43m. The calculation puts the calculated total energy at -3.18 eV/atom.

No. 9
The following is a GGA-PBE calculation of a relaxed structure of BeCdGe2, from OQMD via LeMat-Bulk.

abc: 4.679 4.679 4.679
angles: 60.00 60.00 60.00
Fractional coordinates of all 4 atoms:
Ge (0.000, 0.000, 0.000)
Ge (0.750, 0.750, 0.750)
Be (0.500, 0.500, 0.500)
Cd (0.250, 0.250, 0.250)

Results
Its symmetry is F-43m. The calculation puts the calculated total energy at -2.93 eV/atom.

No. 10
The following is a GGA-PBE calculation of a relaxed structure of BeCd2Ge, from OQMD via LeMat-Bulk.

abc: 4.756 4.756 4.756
angles: 60.00 60.00 60.00
Fractional coordinates of all 4 atoms:
Cd (0.750, 0.750, 0.750)
Be (0.250, 0.250, 0.250)
Ge (0.500, 0.500, 0.500)
Cd (0.000, 0.000, 0.000)

Results
Its symmetry is F-43m. The calculation puts the calculated total energy at -2.05 eV/atom.

No. 11
The following is a GGA-PBE calculation of a relaxed structure of BeCdGe2P4, from OQMD via LeMat-Bulk.

abc: 6.651 6.651 6.651
angles: 131.40 131.40 71.18
Fractional coordinates of all 8 atoms:
Be (0.000, 0.000, 0.000)
Ge (0.750, 0.250, 0.500)
P (0.366, 0.337, 0.475)
Ge (0.500, 0.500, 0.000)
P (0.862, 0.891, 0.525)
P (0.109, 0.634, 0.971)
P (0.663, 0.138, 0.029)
Cd (0.250, 0.750, 0.500)

Results
Its symmetry is I-4. The calculation puts the calculated total energy at -4.58 eV/atom.

No. 12
The following is a GGA-PBE calculation of a relaxed structure of BeCdGePd, from OQMD via LeMat-Bulk.

abc: 4.498 4.498 4.498
angles: 60.00 60.00 60.00
Fractional coordinates of all 4 atoms:
Be (0.750, 0.750, 0.750)
Ge (0.000, 0.000, 0.000)
Cd (0.500, 0.500, 0.500)
Pd (0.250, 0.250, 0.250)

Results
Its symmetry is F-43m. Its excess energy over the best structure of this formula in the dataset is 13 meV per atom. The calculation puts the calculated total energy at -3.44 eV/atom.

No. 13
The following is a GGA-PBE calculation of a relaxed structure of BeCdGePd, from OQMD via LeMat-Bulk.

abc: 4.469 4.469 4.469
angles: 60.00 60.00 60.00
Fractional coordinates of all 4 atoms:
Be (0.750, 0.750, 0.750)
Ge (0.250, 0.250, 0.250)
Pd (0.500, 0.500, 0.500)
Cd (0.000, 0.000, 0.000)

Results
Its symmetry is F-43m. Its excess energy over the best structure of this formula in the dataset is 0 meV per atom. The calculation puts the calculated total energy at -3.45 eV/atom.

No. 14
The following is a GGA-PBE calculation of a relaxed structure of HfBeCd, from OQMD via LeMat-Bulk.

abc: 4.370 4.370 4.370
angles: 60.00 60.00 60.00
Fractional coordinates of all 3 atoms:
Hf (0.750, 0.750, 0.750)
Cd (0.000, 0.000, 0.000)
Be (0.250, 0.250, 0.250)

Results
Its total magnetization is 0.00 μB/atom. Its symmetry is F-43m. Its excess energy over the best structure of this formula in the dataset is 0 meV per atom. The calculation puts the calculated total energy at -4.27 eV/atom.

No. 15
The following is a GGA-PBE calculation of a relaxed structure of HfBeCd2, from OQMD via LeMat-Bulk.

abc: 4.671 4.671 4.671
angles: 60.00 60.00 60.00
Fractional coordinates of all 4 atoms:
Hf (0.250, 0.250, 0.250)
Cd (0.750, 0.750, 0.750)
Be (0.500, 0.500, 0.500)
Cd (0.000, 0.000, 0.000)

Results
Its total magnetization is 0.00 μB/atom. Its symmetry is F-43m. The calculation puts the calculated total energy at -3.59 eV/atom.

No. 16
The following is a GGA-PBE calculation of a relaxed structure of HfBeCd, from OQMD via LeMat-Bulk.

abc: 4.471 4.471 4.471
angles: 60.00 60.00 60.00
Fractional coordinates of all 3 atoms:
Be (0.250, 0.250, 0.250)
Cd (0.750, 0.750, 0.750)
Hf (0.000, 0.000, 0.000)

Results
Its total magnetization is 0.00 μB/atom. Its symmetry is F-43m. Its excess energy over the best structure of this formula in the dataset is 273 meV per atom. The calculation puts the calculated total energy at -3.99 eV/atom.

No. 17
The following is a GGA-PBE calculation of a relaxed structure of Hf2BeCd, from OQMD via LeMat-Bulk.

abc: 4.781 4.781 4.781
angles: 60.00 60.00 60.00
Fractional coordinates of all 4 atoms:
Cd (0.250, 0.250, 0.250)
Hf (0.750, 0.750, 0.750)
Hf (0.000, 0.000, 0.000)
Be (0.500, 0.500, 0.500)

Results
Its total magnetization is 0.43 μB/atom. Its symmetry is F-43m. The calculation puts the calculated total energy at -5.58 eV/atom.

No. 18
The following is a GGA-PBE calculation of a relaxed structure of HfBeCdNi, from OQMD via LeMat-Bulk.

abc: 4.435 4.435 4.435
angles: 60.00 60.00 60.00
Fractional coordinates of all 4 atoms:
Be (0.750, 0.750, 0.750)
Hf (0.250, 0.250, 0.250)
Ni (0.500, 0.500, 0.500)
Cd (0.000, 0.000, 0.000)

Results
Its total magnetization is 0.00 μB/atom. Its symmetry is F-43m. Its excess energy over the best structure of this formula in the dataset is 175 meV per atom. The calculation puts the calculated total energy at -4.97 eV/atom.

No. 19
The following is a GGA-PBE calculation of a relaxed structure of HfBeCdNi, from OQMD via LeMat-Bulk.

abc: 4.386 4.386 4.386
angles: 60.00 60.00 60.00
Fractional coordinates of all 4 atoms:
Ni (0.250, 0.250, 0.250)
Be (0.750, 0.750, 0.750)
Cd (0.500, 0.500, 0.500)
Hf (0.000, 0.000, 0.000)

Results
Its total magnetization is 0.00 μB/atom. Its symmetry is F-43m. Its excess energy over the best structure of this formula in the dataset is 0 meV per atom. The calculation puts the calculated total energy at -5.14 eV/atom.

No. 20
The following is a GGA-PBE calculation of a relaxed structure of HfBeCdNi, from OQMD via LeMat-Bulk.

abc: 4.416 4.416 4.416
angles: 60.00 60.00 60.00
Fractional coordinates of all 4 atoms:
Hf (0.000, 0.000, 0.000)
Be (0.750, 0.750, 0.750)
Ni (0.500, 0.500, 0.500)
Cd (0.250, 0.250, 0.250)

Results
Its total magnetization is 0.00 μB/atom. Its symmetry is F-43m. Its excess energy over the best structure of this formula in the dataset is 257 meV per atom. The calculation puts the calculated total energy at -4.88 eV/atom.